# 1
VASP calculation (PBEsol) on crystalline CaMg2 at its relaxed geometry.

Unit cell a=6.6005 b=5.1298 c=9.7313 alpha=90.00 beta=90.00 gamma=90.00
Space group Pnma (No. 62)
Asymmetric unit:
Ca (0.1604, 0.2500, 0.0816)
Mg (0.0636, 0.2500, 0.7324)
Mg (0.1521, 0.2500, 0.4124)

Summary:
formation energy	-0.045	eV per atom

# 2
VASP calculation (PBEsol) on crystalline MgMnCo2 at its relaxed geometry.

Unit cell a=2.8173 b=2.8173 c=6.0401 alpha=90.00 beta=90.00 gamma=90.00
Space group P4/mmm (No. 123)
Asymmetric unit:
Mg (0.0000, 0.0000, 0.0000)
Mn (0.0000, 0.0000, 0.5000)
Co (0.5000, 0.5000, 0.2872)

Summary:
formation energy	0.103	eV per atom

# 3
VASP calculation (PBEsol) on crystalline TlReAu2 at its relaxed geometry.

Unit cell a=6.5606 b=6.5606 c=6.5606 alpha=90.00 beta=90.00 gamma=90.00
Space group F-43m (No. 216)
Asymmetric unit:
Tl (0.0000, 0.0000, 0.0000)
Re (0.2500, 0.2500, 0.2500)
Au (0.0000, 0.0000, 0.5000)
Au (0.2500, 0.2500, 0.7500)

Summary:
formation energy	0.838	eV per atom

# 4
VASP calculation (PBEsol) on crystalline V2PbO6 at its relaxed geometry.

Unit cell a=16.0457 b=3.6331 c=9.4528 alpha=90.00 beta=108.83 gamma=90.00
Space group C2/m (No. 12)
Asymmetric unit:
V (0.0947, 0.0000, 0.3393)
V (0.1650, 0.5000, 0.1376)
Pb (0.1268, 0.5000, 0.7235)
O (0.0139, 0.0000, 0.6848)
O (0.1033, 0.5000, 0.9619)
O (0.1039, 0.5000, 0.2887)
O (0.1480, 0.0000, 0.5196)
O (0.1626, 0.0000, 0.1971)
O (0.2284, 0.0000, 0.8531)

Summary:
formation energy (no corrections)	-2.110	eV per atom

# 5
VASP calculation (PBEsol) on crystalline BaCdHg2 at its relaxed geometry.

Unit cell a=3.8401 b=4.0679 c=7.2557 alpha=90.00 beta=97.24 gamma=90.00
Space group P2/m (No. 10)
Asymmetric unit:
Ba (0.0000, 0.0000, 0.0000)
Cd (0.0000, 0.0000, 0.5000)
Hg (0.4479, 0.5000, 0.7095)

Summary:
formation energy	-0.328	eV per atom

# 6
VASP calculation (PBEsol) on crystalline TlSnB2I at its relaxed geometry.

Unit cell a=4.5303 b=4.5303 c=6.4212 alpha=90.00 beta=90.00 gamma=90.00
Space group P4/mmm (No. 123)
Asymmetric unit:
Tl (0.0000, 0.0000, 0.0000)
Sn (0.0000, 0.0000, 0.5000)
B (0.0000, 0.5000, 0.5000)
I (0.5000, 0.5000, 0.0000)

Summary:
formation energy (no corrections)	1.335	eV per atom

# 7
VASP calculation (PBEsol) on crystalline MgCr2Te at its relaxed geometry.

Unit cell a=6.2774 b=6.2774 c=6.2774 alpha=90.00 beta=90.00 gamma=90.00
Space group Fm-3m (No. 225)
Asymmetric unit:
Mg (0.0000, 0.0000, 0.0000)
Cr (0.2500, 0.2500, 0.2500)
Te (0.0000, 0.0000, 0.5000)

Summary:
formation energy (no corrections)	0.546	eV per atom

# 8
VASP calculation (PBEsol) on crystalline TlRh2C2 at its relaxed geometry.

Unit cell a=3.2159 b=3.2159 c=13.0112 alpha=90.00 beta=90.00 gamma=90.00
Space group I4/mmm (No. 139)
Asymmetric unit:
Tl (0.0000, 0.0000, 0.0000)
Rh (0.0000, 0.0000, 0.3419)
C (0.0000, 0.5000, 0.2500)

Summary:
formation energy	0.735	eV per atom